P:
{
  "formula": "TaZnFeCu",
  "functional": "PBE",
  "state": "relaxed",
  "lattice_angstrom": [[-2.6794, -3.1442, 1.0105], [-4.0259, 0.1156, -1.3658], [-1.3089, -2.7228, -2.9933]],
  "species": ["Cu", "Fe", "Ta", "Zn"],
  "frac_coords": [[0.7500, 0.7500, 0.7500], [0.2500, 0.2500, 0.2500], [0.5000, 0.5000, 0.5000], [0.0000, 0.0000, 0.0000]],
  "magnetic_moment_mub_per_atom": 0.31,
  "rho_g_cm3": 11.17
}

***

Q:
{
  "formula": "TaZnFeCu",
  "functional": "PBE",
  "state": "relaxed",
  "lattice_angstrom": [[3.4523, -1.5382, 2.0010], [0.7235, 1.0042, 4.0934], [-0.4392, -2.9744, 3.0411]],
  "species": ["Cu", "Fe", "Ta", "Zn"],
  "frac_coords": [[0.5000, 0.5000, 0.5000], [0.7500, 0.7500, 0.7500], [0.2500, 0.2500, 0.2500], [0.0000, 0.0000, 0.0000]],
  "magnetic_moment_mub_per_atom": 0.51,
  "rho_g_cm3": 10.98
}

***

R:
{
  "formula": "TaZnFeCu",
  "functional": "PBE",
  "state": "relaxed",
  "lattice_angstrom": [[0.0000, 3.0223, 3.0223], [3.0223, 0.0000, 3.0223], [3.0223, 3.0223, 0.0000]],
  "species": ["Cu", "Fe", "Ta", "Zn"],
  "frac_coords": [[0.7500, 0.7500, 0.7500], [0.5000, 0.5000, 0.5000], [0.2500, 0.2500, 0.2500], [0.0000, 0.0000, 0.0000]],
  "magnetic_moment_mub_per_atom": 0.41,
  "rho_g_cm3": 11.00
}

***

In order of decreasing stability: P, R, Q.

***

P:
{
  "formula": "YTlFeCu",
  "functional": "PBE",
  "state": "relaxed",
  "lattice_angstrom": [[0.0000, 3.3611, 3.3611], [3.3611, 0.0000, 3.3611], [3.3611, 3.3611, 0.0000]],
  "species": ["Cu", "Fe", "Tl", "Y"],
  "frac_coords": [[0.7500, 0.7500, 0.7500], [0.2500, 0.2500, 0.2500], [0.0000, 0.0000, 0.0000], [0.5000, 0.5000, 0.5000]],
  "magnetic_moment_mub_per_atom": 0.61,
  "rho_g_cm3": 9.02
}

***

Q:
{
  "formula": "YTlFeCu",
  "functional": "PBE",
  "state": "relaxed",
  "lattice_angstrom": [[-2.9128, -3.5930, -1.3118], [-2.5167, -2.3909, 3.3264], [-4.7686, 0.5528, 0.2640]],
  "species": ["Cu", "Fe", "Tl", "Y"],
  "frac_coords": [[0.7500, 0.7500, 0.7500], [0.5000, 0.5000, 0.5000], [0.0000, 0.0000, 0.0000], [0.2500, 0.2500, 0.2500]],
  "magnetic_moment_mub_per_atom": 0.69,
  "rho_g_cm3": 8.72
}

***

In order of decreasing stability: P, Q.

***

P:
{
  "formula": "TlZnFeCu",
  "functional": "PBE",
  "state": "relaxed",
  "lattice_angstrom": [[2.9526, 2.7609, 1.9059], [-1.1147, 2.2624, 3.6893], [1.8518, -1.0718, 3.9236]],
  "species": ["Cu", "Fe", "Tl", "Zn"],
  "frac_coords": [[0.7500, 0.7500, 0.7500], [0.5000, 0.5000, 0.5000], [0.0000, 0.0000, 0.0000], [0.2500, 0.2500, 0.2500]],
  "magnetic_moment_mub_per_atom": 0.66,
  "rho_g_cm3": 10.24
}

***

Q:
{
  "formula": "TlZnFeCu",
  "functional": "PBE",
  "state": "relaxed",
  "lattice_angstrom": [[0.0000, 3.1425, 3.1425], [3.1425, 0.0000, 3.1425], [3.1425, 3.1425, 0.0000]],
  "species": ["Cu", "Fe", "Tl", "Zn"],
  "frac_coords": [[0.7500, 0.7500, 0.7500], [0.2500, 0.2500, 0.2500], [0.0000, 0.0000, 0.0000], [0.5000, 0.5000, 0.5000]],
  "magnetic_moment_mub_per_atom": 0.58,
  "rho_g_cm3": 10.41
}

***

In order of decreasing stability: Q, P.

***

P:
{
  "formula": "ZrTlFeCu",
  "functional": "PBE",
  "state": "relaxed",
  "lattice_angstrom": [[2.6809, -1.2020, 3.5044], [2.8506, 3.0588, 1.8523], [-0.8252, 1.6547, 4.1826]],
  "species": ["Cu", "Fe", "Tl", "Zr"],
  "frac_coords": [[0.7500, 0.7500, 0.7500], [0.2500, 0.2500, 0.2500], [0.0000, 0.0000, 0.0000], [0.5000, 0.5000, 0.5000]],
  "magnetic_moment_mub_per_atom": 0.45,
  "rho_g_cm3": 10.19
}

***

Q:
{
  "formula": "ZrTlFeCu",
  "functional": "PBE",
  "state": "relaxed",
  "lattice_angstrom": [[0.0000, 3.2824, 3.2824], [3.2824, 0.0000, 3.2824], [3.2824, 3.2824, 0.0000]],
  "species": ["Cu", "Fe", "Tl", "Zr"],
  "frac_coords": [[0.7500, 0.7500, 0.7500], [0.5000, 0.5000, 0.5000], [0.0000, 0.0000, 0.0000], [0.2500, 0.2500, 0.2500]],
  "magnetic_moment_mub_per_atom": 0.52,
  "rho_g_cm3": 9.74
}

***

In order of decreasing stability: P, Q.

***

P:
{
  "formula": "UFeCu",
  "functional": "PBE",
  "state": "relaxed",
  "lattice_angstrom": [[-0.5222, -1.1306, 4.1179], [1.3940, 2.5940, 3.1362], [-2.8274, 2.1047, 2.4666]],
  "species": ["Cu", "Fe", "U"],
  "frac_coords": [[0.5000, 0.5000, 0.5000], [0.0000, 0.0000, 0.0000], [0.2500, 0.2500, 0.2500]],
  "magnetic_moment_mub_per_atom": 0.01,
  "rho_g_cm3": 10.54
}

***

Q:
{
  "formula": "UFeCu",
  "functional": "PBE",
  "state": "relaxed",
  "lattice_angstrom": [[0.0000, 2.9518, 2.9518], [2.9518, 0.0000, 2.9518], [2.9518, 2.9518, 0.0000]],
  "species": ["Cu", "Fe", "U"],
  "frac_coords": [[0.7500, 0.7500, 0.7500], [0.0000, 0.0000, 0.0000], [0.2500, 0.2500, 0.2500]],
  "magnetic_moment_mub_per_atom": 0.36,
  "rho_g_cm3": 11.54
}

***

In order of decreasing stability: Q, P.

***

P:
{
  "formula": "YZnFeCu",
  "functional": "PBE",
  "state": "relaxed",
  "lattice_angstrom": [[0.0000, 3.2194, 3.2194], [3.2194, 0.0000, 3.2194], [3.2194, 3.2194, 0.0000]],
  "species": ["Cu", "Fe", "Y", "Zn"],
  "frac_coords": [[0.7500, 0.7500, 0.7500], [0.2500, 0.2500, 0.2500], [0.5000, 0.5000, 0.5000], [0.0000, 0.0000, 0.0000]],
  "magnetic_moment_mub_per_atom": 0.52,
  "rho_g_cm3": 6.81
}

***

Q:
{
  "formula": "YZnFeCu",
  "functional": "PBE",
  "state": "relaxed",
  "lattice_angstrom": [[0.0000, 3.2327, 3.2327], [3.2327, 0.0000, 3.2327], [3.2327, 3.2327, 0.0000]],
  "species": ["Cu", "Fe", "Y", "Zn"],
  "frac_coords": [[0.7500, 0.7500, 0.7500], [0.5000, 0.5000, 0.5000], [0.2500, 0.2500, 0.2500], [0.0000, 0.0000, 0.0000]],
  "magnetic_moment_mub_per_atom": 0.59,
  "rho_g_cm3": 6.73
}

***

In order of decreasing stability: P, Q.

***

P:
{
  "formula": "GaCu7",
  "functional": "PBE",
  "state": "relaxed",
  "lattice_angstrom": [[-2.3589, 1.0095, -0.0691], [-0.4958, -1.3059, -2.1534], [-14.4634, -32.2317, 22.8771]],
  "species": ["Cu", "Cu", "Cu", "Cu", "Cu", "Cu", "Cu", "Cu", "Cu", "Cu", "Cu", "Cu", "Cu", "Cu", "Ga", "Ga"],
  "frac_coords": [[0.5000, 0.0000, 0.2245], [0.0000, 0.5000, 0.2674], [0.5000, 0.0000, 0.3097], [0.0000, 0.5000, 0.3518], [0.5000, 0.0000, 0.3940], [0.0000, 0.5000, 0.4364], [0.5000, 0.0000, 0.4788], [0.0000, 0.5000, 0.5212], [0.5000, 0.0000, 0.5636], [0.0000, 0.5000, 0.6060], [0.5000, 0.0000, 0.6482], [0.0000, 0.5000, 0.6903], [0.5000, 0.0000, 0.7326], [0.0000, 0.5000, 0.7755], [0.0000, 0.5000, 0.1758], [0.5000, 0.0000, 0.8242]],
  "rho_g_cm3": 6.16
}

***

Q:
{
  "formula": "GaCu7",
  "functional": "PBE",
  "state": "relaxed",
  "lattice_angstrom": [[3.6954, 0.7376, 3.5415], [-0.7654, -1.5056, 4.8877], [2.6061, -4.0431, 1.8983]],
  "species": ["Cu", "Cu", "Cu", "Cu", "Cu", "Cu", "Cu", "Ga"],
  "frac_coords": [[0.5000, 0.0000, 0.0000], [0.0000, 0.5000, 0.0000], [0.5000, 0.5000, 0.0000], [0.0000, 0.0000, 0.5000], [0.5000, 0.0000, 0.5000], [0.0000, 0.5000, 0.5000], [0.5000, 0.5000, 0.5000], [0.0000, 0.0000, 0.0000]],
  "rho_g_cm3": 8.74
}

***

In order of decreasing stability: Q, P.

***

P:
{
  "formula": "LaGaCu2Ge",
  "functional": "PBE",
  "state": "relaxed",
  "lattice_angstrom": [[-3.7570, -1.7114, -1.0040], [1.0548, 0.0983, -4.1145], [4.0387, -9.3427, 0.8121]],
  "species": ["Cu", "Cu", "Cu", "Cu", "Ga", "Ga", "Ge", "Ge", "La", "La"],
  "frac_coords": [[0.0000, 0.0000, 0.0000], [0.5000, 0.5000, 0.0000], [0.5000, 0.0000, 0.3690], [0.0000, 0.5000, 0.6310], [0.0000, 0.0000, 0.5000], [0.5000, 0.5000, 0.5000], [0.5000, 0.0000, 0.1305], [0.0000, 0.5000, 0.8695], [0.0000, 0.5000, 0.2429], [0.5000, 0.0000, 0.7571]],
  "magnetic_moment_mub_per_atom": 0.00,
  "rho_g_cm3": 7.36
}

***

Q:
{
  "formula": "LaGaCu2Ge",
  "functional": "PBE",
  "state": "relaxed",
  "lattice_angstrom": [[3.1475, -1.8552, 4.6103], [-2.0084, 1.2332, 5.3897], [-2.1250, -2.2896, -4.9846]],
  "species": ["Cu", "Cu", "Ga", "Ge", "La"],
  "frac_coords": [[0.7505, 0.2505, 0.5000], [0.2505, 0.7505, 0.5000], [0.6266, 0.6266, 0.0000], [0.3738, 0.3738, 0.0000], [0.9986, 0.9986, 0.0000]],
  "magnetic_moment_mub_per_atom": 0.00,
  "rho_g_cm3": 7.32
}

***

In order of decreasing stability: P, Q.

***

P:
{
  "formula": "GaCuGePd",
  "functional": "PBE",
  "state": "relaxed",
  "lattice_angstrom": [[0.0000, 3.1249, 3.1249], [3.1249, 0.0000, 3.1249], [3.1249, 3.1249, 0.0000]],
  "species": ["Cu", "Ga", "Ge", "Pd"],
  "frac_coords": [[0.7500, 0.7500, 0.7500], [0.5000, 0.5000, 0.5000], [0.0000, 0.0000, 0.0000], [0.2500, 0.2500, 0.2500]],
  "rho_g_cm3": 8.50
}

***

Q:
{
  "formula": "GaCuGePd",
  "functional": "PBE",
  "state": "relaxed",
  "lattice_angstrom": [[0.0000, 3.1388, 3.1388], [3.1388, 0.0000, 3.1388], [3.1388, 3.1388, 0.0000]],
  "species": ["Cu", "Ga", "Ge", "Pd"],
  "frac_coords": [[0.7500, 0.7500, 0.7500], [0.2500, 0.2500, 0.2500], [0.0000, 0.0000, 0.0000], [0.5000, 0.5000, 0.5000]],
  "rho_g_cm3": 8.39
}

***

In order of decreasing stability: P, Q.

***

P:
{
  "formula": "HfGaCuIr",
  "functional": "PBE",
  "state": "relaxed",
  "lattice_angstrom": [[-2.0860, -3.7806, 1.1622], [-2.4453, -0.1452, 3.7409], [-4.4568, -0.2625, -0.2510]],
  "species": ["Cu", "Ga", "Hf", "Ir"],
  "frac_coords": [[0.7500, 0.7500, 0.7500], [0.0000, 0.0000, 0.0000], [0.2500, 0.2500, 0.2500], [0.5000, 0.5000, 0.5000]],
  "magnetic_moment_mub_per_atom": 0.00,
  "rho_g_cm3": 13.24
}

***

Q:
{
  "formula": "HfGaCuIr",
  "functional": "PBE",
  "state": "relaxed",
  "lattice_angstrom": [[-3.8362, -1.6265, 1.5886], [-2.1688, 2.1658, 3.2390], [-3.8429, 2.0784, -0.8932]],
  "species": ["Cu", "Ga", "Hf", "Ir"],
  "frac_coords": [[0.7500, 0.7500, 0.7500], [0.0000, 0.0000, 0.0000], [0.5000, 0.5000, 0.5000], [0.2500, 0.2500, 0.2500]],
  "magnetic_moment_mub_per_atom": 0.00,
  "rho_g_cm3": 13.35
}

***

In order of decreasing stability: Q, P.

***

P:
{
  "formula": "LiHfGaCu",
  "functional": "PBE",
  "state": "relaxed",
  "lattice_angstrom": [[0.0000, 3.0880, 3.0880], [3.0880, 0.0000, 3.0880], [3.0880, 3.0880, 0.0000]],
  "species": ["Cu", "Ga", "Hf", "Li"],
  "frac_coords": [[0.7500, 0.7500, 0.7500], [0.0000, 0.0000, 0.0000], [0.5000, 0.5000, 0.5000], [0.2500, 0.2500, 0.2500]],
  "magnetic_moment_mub_per_atom": 0.00,
  "rho_g_cm3": 8.99
}

***

Q:
{
  "formula": "LiHfGaCu",
  "functional": "PBE",
  "state": "relaxed",
  "lattice_angstrom": [[-3.4826, -1.4031, 2.3161], [-3.4081, 2.7077, 0.7171], [-3.8522, -0.7183, -2.0262]],
  "species": ["Cu", "Ga", "Hf", "Li"],
  "frac_coords": [[0.7500, 0.7500, 0.7500], [0.0000, 0.0000, 0.0000], [0.2500, 0.2500, 0.2500], [0.5000, 0.5000, 0.5000]],
  "magnetic_moment_mub_per_atom": 0.00,
  "rho_g_cm3": 8.72
}

***

In order of decreasing stability: P, Q.

***

P:
{
  "formula": "HfGaCuOs",
  "functional": "PBE",
  "state": "relaxed",
  "lattice_angstrom": [[0.0000, 3.1436, 3.1436], [3.1436, 0.0000, 3.1436], [3.1436, 3.1436, 0.0000]],
  "species": ["Cu", "Ga", "Hf", "Os"],
  "frac_coords": [[0.7500, 0.7500, 0.7500], [0.0000, 0.0000, 0.0000], [0.5000, 0.5000, 0.5000], [0.2500, 0.2500, 0.2500]],
  "magnetic_moment_mub_per_atom": 0.00,
  "rho_g_cm3": 13.42
}

***

Q:
{
  "formula": "HfGaCuOs",
  "functional": "PBE",
  "state": "relaxed",
  "lattice_angstrom": [[1.8846, -3.0770, 2.6430], [0.5817, 0.8450, 4.3535], [-2.4724, -2.1493, 3.0452]],
  "species": ["Cu", "Ga", "Hf", "Os"],
  "frac_coords": [[0.7500, 0.7500, 0.7500], [0.0000, 0.0000, 0.0000], [0.2500, 0.2500, 0.2500], [0.5000, 0.5000, 0.5000]],
  "magnetic_moment_mub_per_atom": 0.00,
  "rho_g_cm3": 13.17
}

***

In order of decreasing stability: P, Q.

***

P:
{
  "formula": "HfGaCuTc",
  "functional": "PBE",
  "state": "relaxed",
  "lattice_angstrom": [[3.9521, -1.1218, 1.7085], [2.4004, 3.0165, 2.2216], [0.4973, -0.3599, 4.4068]],
  "species": ["Cu", "Ga", "Hf", "Tc"],
  "frac_coords": [[0.7500, 0.7500, 0.7500], [0.0000, 0.0000, 0.0000], [0.5000, 0.5000, 0.5000], [0.2500, 0.2500, 0.2500]],
  "magnetic_moment_mub_per_atom": 0.00,
  "rho_g_cm3": 10.92
}

***

Q:
{
  "formula": "HfGaCuTc",
  "functional": "PBE",
  "state": "relaxed",
  "lattice_angstrom": [[0.0000, 3.1731, 3.1731], [3.1731, 0.0000, 3.1731], [3.1731, 3.1731, 0.0000]],
  "species": ["Cu", "Ga", "Hf", "Tc"],
  "frac_coords": [[0.7500, 0.7500, 0.7500], [0.0000, 0.0000, 0.0000], [0.2500, 0.2500, 0.2500], [0.5000, 0.5000, 0.5000]],
  "magnetic_moment_mub_per_atom": 0.00,
  "rho_g_cm3": 10.65
}

***

In order of decreasing stability: P, Q.

***

P:
{
  "formula": "GaCuHgMo",
  "functional": "PBE",
  "state": "relaxed",
  "lattice_angstrom": [[0.4424, -3.3610, 3.0562], [-0.6447, 0.8512, 4.4375], [-3.6856, -1.6491, 2.1281]],
  "species": ["Cu", "Ga", "Hg", "Mo"],
  "frac_coords": [[0.7500, 0.7500, 0.7500], [0.0000, 0.0000, 0.0000], [0.2500, 0.2500, 0.2500], [0.5000, 0.5000, 0.5000]],
  "magnetic_moment_mub_per_atom": 0.56,
  "rho_g_cm3": 10.62
}

***

Q:
{
  "formula": "GaCuHgMo",
  "functional": "PBE",
  "state": "relaxed",
  "lattice_angstrom": [[0.0000, 3.2060, 3.2060], [3.2060, 0.0000, 3.2060], [3.2060, 3.2060, 0.0000]],
  "species": ["Cu", "Ga", "Hg", "Mo"],
  "frac_coords": [[0.7500, 0.7500, 0.7500], [0.0000, 0.0000, 0.0000], [0.5000, 0.5000, 0.5000], [0.2500, 0.2500, 0.2500]],
  "magnetic_moment_mub_per_atom": 0.40,
  "rho_g_cm3": 10.83
}

***

In order of decreasing stability: Q, P.